(1)
A relaxed LaSi2Ru crystal, computed with GGA-PBE.

Unit cell a=4.699 b=4.699 c=4.699 alpha=60.00 beta=60.00 gamma=60.00
Element x y z (fractional)
La (0.500, 0.500, 0.500)
Ru (0.750, 0.750, 0.750)
Si (0.000, 0.000, 0.000)
Si (0.250, 0.250, 0.250)

* space-group type: F-43m
* total moment: 0.00 μB per cell
* uncorrected formation energy: 0.05 eV per atom

(2)
A relaxed SnBiAu crystal, computed with GGA-PBE.

Unit cell a=5.985 b=5.664 c=11.178 alpha=81.87 beta=74.47 gamma=58.11
Element x y z (fractional)
Sn (0.171, 0.500, 0.659)
Sn (0.329, 0.500, 0.341)
Sn (0.579, 0.000, 0.841)
Sn (0.421, 0.000, 0.159)
Au (0.636, 0.500, 0.729)
Au (0.864, 0.500, 0.271)
Au (0.114, 0.000, 0.771)
Au (0.886, 0.000, 0.229)
Bi (0.935, 0.131, 0.500)
Bi (0.565, 0.869, 0.500)
Bi (0.815, 0.369, 0.000)
Bi (0.185, 0.631, 0.000)

* formation energy from the elements: -0.03 eV/atom
* space-group type: Fddd
* total moment: 0.00 μB per cell

(3)
A relaxed DySc3Hg6 crystal, computed with GGA-PBE.

Unit cell a=4.995 b=8.839 c=10.727 alpha=106.31 beta=90.00 gamma=90.00
Element x y z (fractional)
Dy (0.250, 0.936, 0.614)
Dy (0.750, 0.064, 0.386)
Sc (0.250, 0.519, 0.392)
Sc (0.750, 0.481, 0.608)
Sc (0.250, 0.352, 0.808)
Sc (0.750, 0.648, 0.192)
Sc (0.250, 0.762, 0.995)
Sc (0.750, 0.238, 0.005)
Hg (0.250, 0.464, 0.096)
Hg (0.750, 0.536, 0.904)
Hg (0.250, 0.145, 0.210)
Hg (0.750, 0.855, 0.790)
Hg (0.250, 0.634, 0.706)
Hg (0.750, 0.366, 0.294)
Hg (0.250, 0.257, 0.523)
Hg (0.750, 0.743, 0.477)
Hg (0.250, 0.823, 0.305)
Hg (0.750, 0.177, 0.695)
Hg (0.250, 0.067, 0.911)
Hg (0.750, 0.933, 0.089)

* formation energy from the elements: -0.37 eV/atom
* space-group type: P2_1/m
* total moment: 0.00 μB per cell

(4)
A relaxed Ac2UBi crystal, computed with GGA-PBE.

Unit cell a=4.907 b=5.265 c=5.265 alpha=90.00 beta=90.00 gamma=90.00
Element x y z (fractional)
Ac (0.000, 0.000, 0.500)
Ac (0.000, 0.500, 0.000)
U (0.500, 0.000, 0.000)
Bi (0.500, 0.500, 0.500)

* formation energy from the elements: 0.11 eV/atom
* space-group type: P4/mmm
* total moment: 3.74 μB per cell

(5)
A relaxed CaBO3 crystal, computed with GGA-PBE.

Unit cell a=9.333 b=3.658 c=8.422 alpha=69.79 beta=90.00 gamma=90.00
Element x y z (fractional)
Ca (0.505, 0.922, 0.293)
Ca (0.005, 0.078, 0.207)
Ca (0.495, 0.078, 0.707)
Ca (0.995, 0.922, 0.793)
B (0.265, 0.305, 0.937)
B (0.765, 0.695, 0.563)
B (0.735, 0.695, 0.063)
B (0.235, 0.305, 0.437)
O (0.382, 0.315, 0.430)
O (0.882, 0.685, 0.070)
O (0.618, 0.685, 0.570)
O (0.118, 0.315, 0.930)
O (0.357, 0.502, 0.808)
O (0.857, 0.498, 0.692)
O (0.643, 0.498, 0.192)
O (0.143, 0.502, 0.308)
O (0.340, 0.081, 0.075)
O (0.840, 0.919, 0.425)
O (0.660, 0.919, 0.925)
O (0.160, 0.081, 0.575)

* space-group type: P2_1/c
* total moment: 4.07 μB per cell
* uncorrected formation energy: -2.40 eV per atom

(6)
A relaxed Mg2ZrSnO6 crystal, computed with GGA-PBE.

Unit cell a=5.326 b=5.326 c=5.688 alpha=62.08 beta=62.07 gamma=59.99
Element x y z (fractional)
Mg (0.525, 0.525, 0.427)
Mg (0.020, 0.020, 0.939)
Zr (0.810, 0.810, 0.569)
Sn (0.314, 0.314, 0.058)
O (0.610, 0.215, 0.252)
O (0.215, 0.922, 0.252)
O (0.922, 0.610, 0.252)
O (0.417, 0.714, 0.755)
O (0.714, 0.114, 0.755)
O (0.114, 0.417, 0.755)

* space-group type: R3
* total moment: 0.00 μB per cell
* uncorrected formation energy: -2.56 eV per atom